Record 1
# RbReB PBE-GGA relaxed
data_RbReB
_chemical_formula_sum 'Rb4 Re4 B4'
_symmetry_space_group_name_H-M 'P 1'
_symmetry_Int_Tables_number 1
_cell_length_a 6.063
_cell_length_b 6.063
_cell_length_c 6.063
_cell_angle_alpha 90.00
_cell_angle_beta 90.00
_cell_angle_gamma 90.00
loop_
_symmetry_equiv_pos_as_xyz
'x,y,z'
loop_
_atom_site_label
_atom_site_fract_x
_atom_site_fract_y
_atom_site_fract_z
Rb1 0.000 0.000 0.000
Rb2 0.000 0.500 0.500
Rb3 0.500 0.000 0.500
Rb4 0.500 0.500 0.000
Re1 0.000 0.000 0.500
Re2 0.000 0.500 0.000
Re3 0.500 0.000 0.000
Re4 0.500 0.500 0.500
B1 0.250 0.250 0.250
B2 0.250 0.750 0.750
B3 0.750 0.250 0.750
B4 0.750 0.750 0.250
# energy above the lowest structure with this stoichiometry = 0.0000 eV/atom
# ρ = 8.419 Mg/m³
# DFT total energy = -48.76 eV for the cell shown
# M_tot = 1.890 μB per formula unit

Record 2
# RbReB PBE-GGA relaxed
data_RbReB
_chemical_formula_sum 'Rb4 Re4 B4'
_symmetry_space_group_name_H-M 'P 1'
_symmetry_Int_Tables_number 1
_cell_length_a 6.996
_cell_length_b 6.996
_cell_length_c 6.996
_cell_angle_alpha 90.00
_cell_angle_beta 90.00
_cell_angle_gamma 90.00
loop_
_symmetry_equiv_pos_as_xyz
'x,y,z'
loop_
_atom_site_label
_atom_site_fract_x
_atom_site_fract_y
_atom_site_fract_z
Rb1 0.000 0.000 0.000
Rb2 0.000 0.500 0.500
Rb3 0.500 0.000 0.500
Rb4 0.500 0.500 0.000
Re1 0.250 0.250 0.250
Re2 0.250 0.750 0.750
Re3 0.750 0.250 0.750
Re4 0.750 0.750 0.250
B1 0.250 0.250 0.750
B2 0.250 0.750 0.250
B3 0.750 0.250 0.250
B4 0.750 0.750 0.750
# energy above the lowest structure with this stoichiometry = 0.9952 eV/atom
# ρ = 5.480 Mg/m³
# DFT total energy = -36.82 eV for the cell shown
# M_tot = 3.113 μB per formula unit

Record 3
# RbReB PBE-GGA relaxed
data_RbReB
_chemical_formula_sum 'Rb4 Re4 B4'
_symmetry_space_group_name_H-M 'P 1'
_symmetry_Int_Tables_number 1
_cell_length_a 6.090
_cell_length_b 6.090
_cell_length_c 6.090
_cell_angle_alpha 90.00
_cell_angle_beta 90.00
_cell_angle_gamma 90.00
loop_
_symmetry_equiv_pos_as_xyz
'x,y,z'
loop_
_atom_site_label
_atom_site_fract_x
_atom_site_fract_y
_atom_site_fract_z
Rb1 0.000 0.000 0.000
Rb2 0.000 0.500 0.500
Rb3 0.500 0.000 0.500
Rb4 0.500 0.500 0.000
Re1 0.250 0.250 0.750
Re2 0.250 0.750 0.250
Re3 0.750 0.250 0.250
Re4 0.750 0.750 0.750
B1 0.000 0.000 0.500
B2 0.000 0.500 0.000
B3 0.500 0.000 0.000
B4 0.500 0.500 0.500
# energy above the lowest structure with this stoichiometry = 0.0947 eV/atom
# ρ = 8.306 Mg/m³
# DFT total energy = -47.62 eV for the cell shown
# M_tot = 1.002 μB per formula unit

Record 4
# RbReB4 PBE-GGA relaxed
data_RbReB4
_chemical_formula_sum 'Rb2 Re2 B8'
_symmetry_space_group_name_H-M 'P 1'
_symmetry_Int_Tables_number 1
_cell_length_a 2.997
_cell_length_b 5.768
_cell_length_c 7.606
_cell_angle_alpha 90.00
_cell_angle_beta 90.00
_cell_angle_gamma 90.00
loop_
_symmetry_equiv_pos_as_xyz
'x,y,z'
loop_
_atom_site_label
_atom_site_fract_x
_atom_site_fract_y
_atom_site_fract_z
Rb1 0.000 0.000 0.000
Rb2 0.500 0.500 0.500
Re1 0.000 0.000 0.500
Re2 0.500 0.500 0.000
B1 0.000 0.349 0.226
B2 0.000 0.349 0.774
B3 0.000 0.651 0.226
B4 0.000 0.651 0.774
B5 0.500 0.151 0.274
B6 0.500 0.151 0.726
B7 0.500 0.849 0.274
B8 0.500 0.849 0.726
# energy above the lowest structure with this stoichiometry = 0.7213 eV/atom
# ρ = 7.954 Mg/m³
# DFT total energy = -68.70 eV for the cell shown
# M_tot = 0.000 μB per formula unit

Record 5
# RbSmB4 PBE-GGA relaxed
data_RbSmB4
_chemical_formula_sum 'Rb1 Sm1 B4'
_symmetry_space_group_name_H-M 'P 1'
_symmetry_Int_Tables_number 1
_cell_length_a 3.255
_cell_length_b 3.255
_cell_length_c 9.258
_cell_angle_alpha 90.00
_cell_angle_beta 90.00
_cell_angle_gamma 120.00
loop_
_symmetry_equiv_pos_as_xyz
'x,y,z'
loop_
_atom_site_label
_atom_site_fract_x
_atom_site_fract_y
_atom_site_fract_z
Rb1 0.000 0.000 0.000
Sm1 0.000 0.000 0.500
B1 0.333 0.667 0.286
B2 0.333 0.667 0.714
B3 0.667 0.333 0.286
B4 0.667 0.333 0.714
# energy above the lowest structure with this stoichiometry = 0.0142 eV/atom
# ρ = 5.455 Mg/m³
# DFT total energy = -31.35 eV for the cell shown
# M_tot = 0.010 μB per formula unit

Record 6
# RbSmB4 PBE-GGA relaxed
data_RbSmB4
_chemical_formula_sum 'Rb2 Sm2 B8'
_symmetry_space_group_name_H-M 'P 1'
_symmetry_Int_Tables_number 1
_cell_length_a 3.131
_cell_length_b 8.073
_cell_length_c 8.090
_cell_angle_alpha 90.00
_cell_angle_beta 90.00
_cell_angle_gamma 90.00
loop_
_symmetry_equiv_pos_as_xyz
'x,y,z'
loop_
_atom_site_label
_atom_site_fract_x
_atom_site_fract_y
_atom_site_fract_z
Rb1 0.000 0.000 0.000
Rb2 0.500 0.500 0.500
Sm1 0.000 0.500 0.000
Sm2 0.500 0.000 0.500
B1 0.000 0.244 0.262
B2 0.000 0.244 0.738
B3 0.000 0.756 0.262
B4 0.000 0.756 0.738
B5 0.500 0.256 0.238
B6 0.500 0.256 0.762
B7 0.500 0.744 0.238
B8 0.500 0.744 0.762
# energy above the lowest structure with this stoichiometry = 0.0000 eV/atom
# ρ = 4.533 Mg/m³
# DFT total energy = -62.87 eV for the cell shown
# M_tot = 0.001 μB per formula unit